Record 1
A plane-wave DFT calculation with GGA-PBE was carried out for an optimized crystal structure of AsRuPtBr2.

POSCAR file:
```
AsRuPtBr2
1.0
4.8268 0.0000 0.0000
0.0000 4.8268 0.0000
0.0000 0.0000 5.0844
As Ru Pt Br
1 1 1 2
Direct
0.0000 0.0000 0.0000
0.5000 0.5000 0.5000
0.5000 0.5000 0.0000
0.0000 0.5000 0.5000
0.5000 0.0000 0.5000
```

excess energy over the best structure of this formula in the dataset	0.064	eV per atom
N(E_F)	6.3	states/eV/f.u.
space group	No. 123
energy relative to the elements, uncorrected	950	meV per atom

=====

Record 2
A plane-wave DFT calculation with GGA-PBE was carried out for an optimized crystal structure of AsRuPtBr2.

POSCAR file:
```
AsRuPtBr2
1.0
5.0516 0.0000 0.0000
0.0000 5.0516 0.0000
0.0000 0.0000 4.6470
As Ru Pt Br
1 1 1 2
Direct
0.0000 0.0000 0.0000
0.0000 0.0000 0.5000
0.5000 0.5000 0.0000
0.0000 0.5000 0.5000
0.5000 0.0000 0.5000
```

excess energy over the best structure of this formula in the dataset	0.000	eV per atom
N(E_F)	7.2	states/eV/f.u.
space group	No. 123
energy relative to the elements, uncorrected	886	meV per atom

=====

Record 3
A plane-wave DFT calculation with GGA-PBE was carried out for an optimized crystal structure of AsRuPtBr2.

POSCAR file:
```
AsRuPtBr2
1.0
5.2733 0.0000 0.0000
0.0000 5.2733 0.0000
0.0000 0.0000 4.7480
As Ru Pt Br
1 1 1 2
Direct
0.0000 0.0000 0.0000
0.5000 0.5000 0.0000
0.0000 0.0000 0.5000
0.0000 0.5000 0.5000
0.5000 0.0000 0.5000
```

excess energy over the best structure of this formula in the dataset	0.140	eV per atom
N(E_F)	4.8	states/eV/f.u.
space group	No. 123
energy relative to the elements, uncorrected	1026	meV per atom

=====

Record 4
A plane-wave DFT calculation with GGA-PBE was carried out for an optimized crystal structure of As2PtSBr.

POSCAR file:
```
As2PtSBr
1.0
4.8771 0.0000 0.0000
0.0000 4.8771 0.0000
0.0000 0.0000 4.6538
As Pt S Br
2 1 1 1
Direct
0.0000 0.5000 0.0000
0.5000 0.0000 0.0000
0.0000 0.0000 0.5000
0.5000 0.5000 0.0000
0.5000 0.5000 0.5000
```

excess energy over the best structure of this formula in the dataset	0.344	eV per atom
N(E_F)	3.5	states/eV/f.u.
space group	No. 123
energy relative to the elements, uncorrected	1048	meV per atom

=====

Record 5
A plane-wave DFT calculation with GGA-PBE was carried out for an optimized crystal structure of As2PtSBr.

POSCAR file:
```
As2PtSBr
1.0
4.9164 0.0000 0.0000
0.0000 4.9164 0.0000
0.0000 0.0000 5.0549
As Pt S Br
2 1 1 1
Direct
0.0000 0.5000 0.0000
0.5000 0.0000 0.0000
0.0000 0.0000 0.0000
0.5000 0.5000 0.5000
0.0000 0.0000 0.5000
```

excess energy over the best structure of this formula in the dataset	0.000	eV per atom
N(E_F)	5.4	states/eV/f.u.
space group	No. 123
energy relative to the elements, uncorrected	703	meV per atom

=====

Record 6
A plane-wave DFT calculation with GGA-PBE was carried out for an optimized crystal structure of Sc2AsPtBr.

POSCAR file:
```
Sc2AsPtBr
1.0
4.9710 0.0000 0.0000
0.0000 4.9710 0.0000
0.0000 0.0000 4.6901
Sc As Pt Br
2 1 1 1
Direct
0.0000 0.5000 0.0000
0.5000 0.0000 0.0000
0.0000 0.0000 0.5000
0.5000 0.5000 0.5000
0.5000 0.5000 0.0000
```

N(E_F)	4.4	states/eV/f.u.
space group	No. 123
energy relative to the elements, uncorrected	69	meV per atom

=====

Record 7
A plane-wave DFT calculation with GGA-PBE was carried out for an optimized crystal structure of As2PtSeBr.

POSCAR file:
```
As2PtSeBr
1.0
4.9366 0.0000 0.0000
0.0000 4.9366 0.0000
0.0000 0.0000 5.1260
As Pt Se Br
2 1 1 1
Direct
0.0000 0.5000 0.0000
0.5000 0.0000 0.0000
0.0000 0.0000 0.0000
0.0000 0.0000 0.5000
0.5000 0.5000 0.5000
```

excess energy over the best structure of this formula in the dataset	0.000	eV per atom
N(E_F)	7.1	states/eV/f.u.
space group	No. 123
energy relative to the elements, uncorrected	550	meV per atom

=====

Record 8
A plane-wave DFT calculation with GGA-PBE was carried out for an optimized crystal structure of As2PtSeBr.

POSCAR file:
```
As2PtSeBr
1.0
4.9371 0.0000 0.0000
0.0000 4.9371 0.0000
0.0000 0.0000 5.0609
As Pt Se Br
2 1 1 1
Direct
0.0000 0.5000 0.0000
0.5000 0.0000 0.0000
0.0000 0.0000 0.0000
0.5000 0.5000 0.5000
0.0000 0.0000 0.5000
```

excess energy over the best structure of this formula in the dataset	0.000	eV per atom
N(E_F)	5.5	states/eV/f.u.
space group	No. 123
energy relative to the elements, uncorrected	550	meV per atom

=====

Record 9
A plane-wave DFT calculation with GGA-PBE was carried out for an optimized crystal structure of AsPtSe2Br.

POSCAR file:
```
AsPtSe2Br
1.0
5.1006 0.0000 0.0000
0.0000 5.1006 0.0000
0.0000 0.0000 4.9259
As Pt Se Br
1 1 2 1
Direct
0.0000 0.0000 0.0000
0.5000 0.5000 0.5000
0.0000 0.5000 0.0000
0.5000 0.0000 0.0000
0.0000 0.0000 0.5000
```

excess energy over the best structure of this formula in the dataset	0.415	eV per atom
N(E_F)	8.1	states/eV/f.u.
space group	No. 123
energy relative to the elements, uncorrected	938	meV per atom

=====

Record 10
A plane-wave DFT calculation with GGA-PBE was carried out for an optimized crystal structure of AsPtSeBr2.

POSCAR file:
```
AsPtSeBr2
1.0
5.1359 0.0000 0.0000
0.0000 5.1359 0.0000
0.0000 0.0000 4.9115
As Pt Se Br
1 1 1 2
Direct
0.0000 0.0000 0.0000
0.0000 0.0000 0.5000
0.5000 0.5000 0.0000
0.0000 0.5000 0.5000
0.5000 0.0000 0.5000
```

excess energy over the best structure of this formula in the dataset	0.000	eV per atom
N(E_F)	3.7	states/eV/f.u.
space group	No. 123
energy relative to the elements, uncorrected	477	meV per atom

=====

Record 11
A plane-wave DFT calculation with GGA-PBE was carried out for an optimized crystal structure of As2PtSeBr.

POSCAR file:
```
As2PtSeBr
1.0
5.0901 0.0000 0.0000
0.0000 5.0901 0.0000
0.0000 0.0000 4.8917
As Pt Se Br
2 1 1 1
Direct
0.0000 0.5000 0.0000
0.5000 0.0000 0.0000
0.0000 0.0000 0.5000
0.5000 0.5000 0.0000
0.5000 0.5000 0.5000
```

excess energy over the best structure of this formula in the dataset	0.617	eV per atom
N(E_F)	4.8	states/eV/f.u.
space group	No. 123
energy relative to the elements, uncorrected	1167	meV per atom

=====

Record 12
A plane-wave DFT calculation with GGA-PBE was carried out for an optimized crystal structure of AsPtSe2Br.

POSCAR file:
```
AsPtSe2Br
1.0
5.0493 0.0000 0.0000
0.0000 5.0493 0.0000
0.0000 0.0000 4.9165
As Pt Se Br
1 1 2 1
Direct
0.0000 0.0000 0.0000
0.0000 0.0000 0.5000
0.0000 0.5000 0.5000
0.5000 0.0000 0.5000
0.5000 0.5000 0.0000
```

excess energy over the best structure of this formula in the dataset	0.000	eV per atom
N(E_F)	7.2	states/eV/f.u.
space group	No. 123
energy relative to the elements, uncorrected	523	meV per atom